Material: NbIn2P
Method: DFT, PBE
State: relaxed

Summary:
The formation enthalpy at 0 K is 0.407 eV per atom. For the total energy, the calculation gives -4.83 eV/atom.

Cell lengths 6.2212, 6.2212, 6.2212 Å; angles 100.70, 100.70, 128.96 degrees
Element x y z (fractional)
1 Nb 0.0000 0.0000 0.0000
2 Nb 0.7500 0.2500 0.5000
3 In 0.1595 0.6250 0.0345
4 In 0.3750 0.4095 0.5345
5 In 0.5905 0.1250 0.9655
6 In 0.8750 0.8405 0.4655
7 P 0.2500 0.7500 0.5000
8 P 0.5000 0.5000 0.0000